Density functional theory data (PBE) for an optimized crystal structure of TcAs2Ir.

```
TcAs2Ir
1.0
-1.533 2.129 4.833
1.533 -2.129 4.833
1.533 2.129 -4.833
Tc As Ir
1 2 1
Cartesian
0.000 0.000 0.000 Tc
1.533 0.000 2.092 As
0.000 0.000 4.765 As
0.000 2.129 2.072 Ir
```

Output
* density of states at the Fermi level: 0.6271 states/eV per atom
* E_form: 159 meV/atom
* space-group type: Imm2, No. 44

***

Density functional theory data (PBE) for an optimized crystal structure of MgPIO2.

```
MgPIO2
1.0
3.928 0.000 0.000
0.000 3.928 0.000
0.000 0.000 6.195
Mg P I O
1 1 1 2
Cartesian
0.000 0.000 0.000 Mg
0.000 0.000 3.097 P
1.964 1.964 3.097 I
0.000 1.964 0.000 O
1.964 0.000 0.000 O
```

Output
* density of states at the Fermi level: 0.6850 states/eV per atom
* uncorrected formation energy: -13.7 kJ/mol of atoms
* space-group type: P4/mmm, No. 123

***

Density functional theory data (PBE) for an optimized crystal structure of PuGe2Br8.

```
PuGe2Br8
1.0
6.175 -5.125 0.000
6.175 5.125 0.000
-2.556 0.000 7.563
Pu Ge Br
1 2 8
Cartesian
0.000 0.000 0.000 Pu
0.288 0.000 4.722 Ge
9.505 0.000 2.841 Ge
4.706 3.250 1.512 Br
1.930 0.000 1.905 Br
5.087 3.250 6.051 Br
2.293 0.000 5.995 Br
7.500 0.000 1.568 Br
4.706 -3.250 1.512 Br
7.863 0.000 5.658 Br
5.087 -3.250 6.051 Br
```

Output
* density of states at the Fermi level: 0.3876 states/eV per atom
* uncorrected formation energy: -82.5 kJ/mol of atoms
* space-group type: C2/m, No. 12

***

Density functional theory data (PBE) for an optimized crystal structure of NaTbAg2Br6.

```
NaTbAg2Br6
1.0
7.259 0.000 0.000
-3.628 6.293 0.000
-3.627 -2.097 6.667
Na Tb Ag Br
1 1 2 6
Cartesian
0.000 0.000 0.000 Na
3.633 2.099 3.217 Tb
0.004 0.004 6.102 Ag
-0.001 4.200 2.872 Ag
-1.401 2.161 1.458 Br
-2.508 -0.013 4.736 Br
-2.355 4.125 4.735 Br
2.570 0.141 1.461 Br
2.464 3.998 1.462 Br
1.246 2.188 4.737 Br
```

Output
* density of states at the Fermi level: 0.0000 states/eV per atom
* uncorrected formation energy: -113.6 kJ/mol of atoms
* space-group type: P1, No. 1

***

Density functional theory data (PBE) for an optimized crystal structure of AgRu2WCl.

```
AgRu2WCl
1.0
4.894 0.000 0.000
0.000 4.894 0.000
0.000 0.000 4.320
Ag Ru W Cl
1 2 1 1
Cartesian
0.000 0.000 0.000 Ag
0.000 2.447 0.000 Ru
2.447 0.000 0.000 Ru
2.447 2.447 2.160 W
0.000 0.000 2.160 Cl
```

Output
* density of states at the Fermi level: 1.9242 states/eV per atom
* uncorrected formation energy: 254.6 kJ/mol of atoms
* space-group type: P4/mmm, No. 123

***

Density functional theory data (PBE) for an optimized crystal structure of PmAlAu2O6.

```
PmAlAu2O6
1.0
6.178 -3.363 0.000
6.178 3.363 0.000
-2.909 0.000 6.760
Pm Al Au O
2 2 4 12
Cartesian
3.997 2.133 5.070 Pm
5.451 -2.133 1.690 Pm
5.451 1.204 1.690 Al
3.997 -1.204 5.070 Al
2.499 0.291 0.651 Au
1.044 -0.291 4.031 Au
8.404 0.291 2.728 Au
6.950 -0.291 6.108 Au
5.379 2.399 0.352 O
1.572 0.782 2.363 O
5.523 2.399 3.028 O
0.118 -0.782 5.743 O
2.746 0.057 5.048 O
4.200 -0.057 1.668 O
5.248 0.057 5.092 O
6.703 -0.057 1.712 O
9.330 0.782 1.017 O
3.925 -2.399 3.732 O
7.876 -0.782 4.397 O
4.069 -2.399 6.408 O
```

Output
* uncorrected formation energy: -149.3 kJ/mol of atoms
* space-group type: C2/c, No. 15

***

Density functional theory data (PBE) for an optimized crystal structure of CdRuBr2.

```
CdRuBr2
1.0
3.618 -3.631 0.000
3.618 3.631 0.000
0.000 0.000 3.410
Cd Ru Br
1 1 2
Cartesian
0.000 0.000 0.000 Cd
3.618 0.000 0.000 Ru
1.809 1.816 1.705 Br
1.809 -1.816 1.705 Br
```

Output
* density of states at the Fermi level: 0.8613 states/eV per atom
* uncorrected formation energy: 59.9 kJ/mol of atoms
* space-group type: Cmmm, No. 65

***

Density functional theory data (PBE) for an optimized crystal structure of MoPRu.

```
MoPRu
1.0
5.130 0.000 0.000
0.000 4.545 0.000
0.000 0.000 7.406
Mo P Ru
4 4 4
Cartesian
1.007 1.136 1.215 Mo
1.558 3.409 4.918 Mo
3.571 1.136 2.488 Mo
4.123 3.409 6.191 Mo
1.198 1.136 3.651 P
1.367 3.409 7.354 P
3.763 1.136 0.052 P
3.932 3.409 3.755 P
0.694 1.136 6.042 Ru
1.871 3.409 2.339 Ru
3.259 1.136 5.067 Ru
4.436 3.409 1.364 Ru
```

Output
* density of states at the Fermi level: 0.5658 states/eV per atom
* E_form: -197 meV/atom
* space-group type: Pnma, No. 62